# TmH3Pd3

Crystalline TmH3Pd3 at its relaxed geometry (PBE-GGA, Alexandria).

The structure belongs to space group R-3 (No. 148, hexagonal axes); the cell edges are 5.5236, 5.5236 and 19.4855 Å and the angles 90.00°, 90.00° and 120.00°. The distinct sites, in fractional coordinates, are Tm at (0.0000, 0.0000, 0.1832), H at (0.9996, 0.2623, 0.7274) and Pd at (0.0004, 0.4050, 0.2696).

The energy above the most stable polymorph in this dataset comes out at 237 meV per atom. The calculated density comes out at 9.5 g/cm3. The calculation puts the density of states at the Fermi level at 9.0 states/eV/cell.